Record 1
# Zn2Cu12Ge (PBE, relaxed)
data_Zn2Cu12Ge
_cell_length_a 4.834
_cell_length_b 4.834
_cell_length_c 17.734
_cell_angle_alpha 90.00
_cell_angle_beta 90.00
_cell_angle_gamma 90.00
_space_group_name_H-M_alt 'P 4/n b m'
_space_group_IT_number 125
loop_
_space_group_symop_operation_xyz
'x,y,z'
'-x,-y,-z'
'-y+1/2,x,z'
'y+1/2,-x,-z'
'-x+1/2,-y+1/2,z'
'x+1/2,y+1/2,-z'
'y,-x+1/2,z'
'-y,x+1/2,-z'
'x,-y+1/2,-z'
'-x,y+1/2,z'
'-y+1/2,-x+1/2,-z'
'y+1/2,x+1/2,z'
'-x+1/2,y,-z'
'x+1/2,-y,z'
'y,x,-z'
'-y,-x,z'
loop_
_atom_site_label
_atom_site_type_symbol
_atom_site_fract_x
_atom_site_fract_y
_atom_site_fract_z
Zn1 Zn 0.250 0.750 0.224
Cu1 Cu 0.000 0.000 0.395
Cu2 Cu 0.075 0.575 0.061
Cu3 Cu 0.250 0.250 0.159
Cu4 Cu 0.250 0.250 0.292
Ge1 Ge 0.250 0.750 0.500
# ρ   7.74 g/cm3
# Volume   13.8 A^3/atom
# M_tot   0.0000 μB per atom
# Crystal system   tetragonal
# ΔE_f   17 kJ per mole of atoms

---

Record 2
# Ta2ZnAu (PBE, relaxed)
data_Ta2ZnAu
_cell_length_a 3.606
_cell_length_b 4.378
_cell_length_c 8.736
_cell_angle_alpha 90.00
_cell_angle_beta 90.00
_cell_angle_gamma 90.00
_space_group_name_H-M_alt 'C m m 2'
_space_group_IT_number 35
loop_
_space_group_symop_operation_xyz
'x,y,z'
'-x,-y,z'
'-x,y,z'
'x,-y,z'
'x+1/2,y+1/2,z'
'-x+1/2,-y+1/2,z'
'-x+1/2,y+1/2,z'
'x+1/2,-y+1/2,z'
loop_
_atom_site_label
_atom_site_type_symbol
_atom_site_fract_x
_atom_site_fract_y
_atom_site_fract_z
Ta1 Ta 0.000 0.000 0.000
Ta2 Ta 0.000 0.500 0.258
Zn1 Zn 0.000 0.500 0.755
Au1 Au 0.000 0.000 0.515
# ρ   15.03 g/cm3
# Volume   17.2 A^3/atom
# M_tot   0.0000 μB per atom
# Crystal system   orthorhombic
# ΔE_f   -6 kJ per mole of atoms

---

Record 3
# Li2Mg3Zn (PBE, relaxed)
data_Li2Mg3Zn
_cell_length_a 4.855
_cell_length_b 9.194
_cell_length_c 5.265
_cell_angle_alpha 90.00
_cell_angle_beta 90.00
_cell_angle_gamma 90.00
_space_group_name_H-M_alt 'P m c 21'
_space_group_IT_number 26
loop_
_space_group_symop_operation_xyz
'x,y,z'
'-x,-y,z+1/2'
'-x,y,z'
'x,-y,z+1/2'
loop_
_atom_site_label
_atom_site_type_symbol
_atom_site_fract_x
_atom_site_fract_y
_atom_site_fract_z
Li1 Li 0.000 0.083 0.000
Li2 Li 0.500 0.269 0.857
Mg1 Mg 0.000 0.248 0.527
Mg2 Mg 0.000 0.418 0.042
Mg3 Mg 0.500 0.087 0.340
Zn1 Zn 0.500 0.418 0.362
# ρ   2.15 g/cm3
# Volume   19.6 A^3/atom
# M_tot   0.0000 μB per atom
# Crystal system   orthorhombic
# ΔE_f   -5 kJ per mole of atoms